Entry from Alexandria: an optimized crystal structure of Ni2RhSe (GGA-PBE).

Energy above the lowest structure with this stoichiometry ... 26 meV per atom
Raw formation energy ... 0.10 eV/atom

Cell lengths 6.7488, 6.7488, 4.8894 Å; angles 90.00, 90.00, 90.00 degrees
With the nearest neighbours (Å) after each atom.
Atoms (fractional coordinates):
Ni 0.2192 0.2500 0.1250  2 Se 2.33, 2 Ni 2.48
Ni 0.2500 0.7192 0.3750  2 Se 2.33, 2 Ni 2.48
Ni 0.2500 0.7808 0.8750  2 Se 2.33, 2 Ni 2.48
Ni 0.2808 0.2500 0.6250  2 Se 2.33, 2 Ni 2.48
Ni 0.7192 0.7500 0.6250  2 Se 2.33, 2 Ni 2.48
Ni 0.7500 0.2192 0.8750  2 Se 2.33, 2 Ni 2.48
Ni 0.7500 0.2808 0.3750  2 Se 2.33, 2 Ni 2.48
Ni 0.7808 0.7500 0.1250  2 Se 2.33, 2 Ni 2.48
Rh 0.0000 0.0000 0.5000  2 Se 2.44, 4 Ni 2.61
Rh 0.0000 0.5000 0.7500  2 Se 2.44, 4 Ni 2.61
Rh 0.5000 0.0000 0.2500  2 Se 2.44, 4 Ni 2.61
Rh 0.5000 0.5000 0.0000  2 Se 2.44, 4 Ni 2.61
Se 0.0000 0.0000 0.0000  4 Ni 2.33, 2 Rh 2.44
Se 0.0000 0.5000 0.2500  4 Ni 2.33, 2 Rh 2.44
Se 0.5000 0.0000 0.7500  4 Ni 2.33, 2 Rh 2.44
Se 0.5000 0.5000 0.5000  4 Ni 2.33, 2 Rh 2.44

=====

Entry from Alexandria: an optimized crystal structure of Ni2RhSe (GGA-PBE).

Energy above the lowest structure with this stoichiometry ... 103 meV per atom
Raw formation energy ... 0.17 eV/atom

Cell lengths 3.7316, 3.7316, 7.6865 Å; angles 90.00, 90.00, 90.00 degrees
With the nearest neighbours (Å) after each atom.
Atoms (fractional coordinates):
Ni 0.0000 0.5000 0.2500  4 Ni 2.64, 4 Se 2.68, 4 Rh 2.68
Ni 0.0000 0.5000 0.7500  4 Ni 2.64, 4 Se 2.68, 4 Rh 2.68
Ni 0.5000 0.0000 0.2500  4 Ni 2.64, 4 Se 2.68, 4 Rh 2.68
Ni 0.5000 0.0000 0.7500  4 Ni 2.64, 4 Se 2.68, 4 Rh 2.68
Rh 0.0000 0.0000 0.0000  4 Se 2.64, 8 Ni 2.68
Rh 0.5000 0.5000 0.5000  4 Se 2.64, 8 Ni 2.68
Se 0.0000 0.0000 0.5000  4 Rh 2.64, 8 Ni 2.68
Se 0.5000 0.5000 0.0000  4 Rh 2.64, 8 Ni 2.68

=====

Please write out number 1 again, unchanged.
Entry from Alexandria: an optimized crystal structure of Ni2RhSe (GGA-PBE).

Energy above the lowest structure with this stoichiometry ... 26 meV per atom
Raw formation energy ... 0.10 eV/atom

Cell lengths 6.7488, 6.7488, 4.8894 Å; angles 90.00, 90.00, 90.00 degrees
With the nearest neighbours (Å) after each atom.
Atoms (fractional coordinates):
Ni 0.2192 0.2500 0.1250  2 Se 2.33, 2 Ni 2.48
Ni 0.2500 0.7192 0.3750  2 Se 2.33, 2 Ni 2.48
Ni 0.2500 0.7808 0.8750  2 Se 2.33, 2 Ni 2.48
Ni 0.2808 0.2500 0.6250  2 Se 2.33, 2 Ni 2.48
Ni 0.7192 0.7500 0.6250  2 Se 2.33, 2 Ni 2.48
Ni 0.7500 0.2192 0.8750  2 Se 2.33, 2 Ni 2.48
Ni 0.7500 0.2808 0.3750  2 Se 2.33, 2 Ni 2.48
Ni 0.7808 0.7500 0.1250  2 Se 2.33, 2 Ni 2.48
Rh 0.0000 0.0000 0.5000  2 Se 2.44, 4 Ni 2.61
Rh 0.0000 0.5000 0.7500  2 Se 2.44, 4 Ni 2.61
Rh 0.5000 0.0000 0.2500  2 Se 2.44, 4 Ni 2.61
Rh 0.5000 0.5000 0.0000  2 Se 2.44, 4 Ni 2.61
Se 0.0000 0.0000 0.0000  4 Ni 2.33, 2 Rh 2.44
Se 0.0000 0.5000 0.2500  4 Ni 2.33, 2 Rh 2.44
Se 0.5000 0.0000 0.7500  4 Ni 2.33, 2 Rh 2.44
Se 0.5000 0.5000 0.5000  4 Ni 2.33, 2 Rh 2.44

=====

What did the second record say?
Entry from Alexandria: an optimized crystal structure of Ni2RhSe (GGA-PBE).

Energy above the lowest structure with this stoichiometry ... 103 meV per atom
Raw formation energy ... 0.17 eV/atom

Cell lengths 3.7316, 3.7316, 7.6865 Å; angles 90.00, 90.00, 90.00 degrees
With the nearest neighbours (Å) after each atom.
Atoms (fractional coordinates):
Ni 0.0000 0.5000 0.2500  4 Ni 2.64, 4 Se 2.68, 4 Rh 2.68
Ni 0.0000 0.5000 0.7500  4 Ni 2.64, 4 Se 2.68, 4 Rh 2.68
Ni 0.5000 0.0000 0.2500  4 Ni 2.64, 4 Se 2.68, 4 Rh 2.68
Ni 0.5000 0.0000 0.7500  4 Ni 2.64, 4 Se 2.68, 4 Rh 2.68
Rh 0.0000 0.0000 0.0000  4 Se 2.64, 8 Ni 2.68
Rh 0.5000 0.5000 0.5000  4 Se 2.64, 8 Ni 2.68
Se 0.0000 0.0000 0.5000  4 Rh 2.64, 8 Ni 2.68
Se 0.5000 0.5000 0.0000  4 Rh 2.64, 8 Ni 2.68